# SmAg2Pd7

A relaxed SmAg2Pd7 crystal (GGA-PBE, the Alexandria database).

**Density of states at the Fermi level**: 1.27 states/eV per atom
**E_form**: 0.178 eV per atom
**Symmetry**: Cmmm (65)
**Calculated volume**: 22.2 A^3/atom

Lattice parameters (Å, degrees): 4.4926 7.7810 7.7810 125.47 90.00 90.00
Fractional positions:
1 Sm 0.0000 0.0000 0.0000
2 Ag 0.5000 0.7040 0.2960
3 Ag 0.5000 0.2960 0.7040
4 Pd 0.0000 0.8064 0.1936
5 Pd 0.0000 0.1936 0.8064
6 Pd 0.5000 0.0799 0.2885
7 Pd 0.5000 0.9201 0.7115
8 Pd 0.5000 0.2885 0.0799
9 Pd 0.5000 0.7115 0.9201
10 Pd 0.5000 0.5000 0.5000

# AcHg4Pb

A relaxed AcHg4Pb crystal (GGA-PBE, the Alexandria database).

**Density of states at the Fermi level**: 0.58 states/eV per atom
**Energy above the most stable polymorph in this dataset**: 0.45 eV/f.u.
**E_form**: -0.206 eV per atom
**Symmetry**: F-43m (216)
**Calculated volume**: 28.3 A^3/atom

Lattice parameters (Å, degrees): 6.2162 6.2162 6.2162 60.00 60.00 60.00
Fractional positions:
1 Pb 0.0000 0.0000 0.0000
2 Ac 0.2500 0.2500 0.2500
3 Hg 0.6257 0.6257 0.1230
4 Hg 0.6257 0.1230 0.6257
5 Hg 0.6257 0.6257 0.6257
6 Hg 0.1230 0.6257 0.6257

# HoTmRuAu

A relaxed HoTmRuAu crystal (GGA-PBE, the Alexandria database).

**Density of states at the Fermi level**: 0.62 states/eV per atom
**Energy above the most stable polymorph in this dataset**: 0.00 eV/f.u.
**E_form**: -0.697 eV per atom
**Symmetry**: P4mm (99)
**Calculated volume**: 21.0 A^3/atom

Lattice parameters (Å, degrees): 3.4056 3.4056 7.2305 90.00 90.00 90.00
Fractional positions:
1 Ho 0.5000 0.5000 0.6281
2 Tm 0.5000 0.5000 0.0869
3 Ru 0.0000 0.0000 0.8602
4 Au 0.0000 0.0000 0.3527

# Nd3Cu2Pd6

A relaxed Nd3Cu2Pd6 crystal (GGA-PBE, the Alexandria database).

**Density of states at the Fermi level**: 0.38 states/eV per atom
**E_form**: -0.625 eV per atom
**Symmetry**: Im-3m (229)
**Calculated volume**: 20.0 A^3/atom

Lattice parameters (Å, degrees): 8.2958 8.2958 8.2958 109.47 109.47 109.47
Fractional positions:
1 Nd 0.7023 0.0000 0.7023
2 Nd 0.2977 0.0000 0.2977
3 Nd 0.0000 0.2977 0.2977
4 Nd 0.0000 0.7023 0.7023
5 Nd 0.2977 0.2977 0.0000
6 Nd 0.7023 0.7023 0.0000
7 Cu 0.0000 0.5000 0.0000
8 Cu 0.5000 0.0000 0.0000
9 Cu 0.0000 0.0000 0.5000
10 Cu 0.5000 0.5000 0.5000
11 Pd 0.6668 0.3336 0.6668
12 Pd 0.6668 0.0000 0.3332
13 Pd 0.3332 0.0000 0.6668
14 Pd 0.3332 0.6664 0.3332
15 Pd 0.0000 0.6668 0.3332
16 Pd 0.6664 0.3332 0.3332
17 Pd 0.3336 0.6668 0.6668
18 Pd 0.0000 0.3332 0.6668
19 Pd 0.3332 0.6668 0.0000
20 Pd 0.6668 0.6668 0.3336
21 Pd 0.3332 0.3332 0.6664
22 Pd 0.6668 0.3332 0.0000

# GeMo3I

A relaxed GeMo3I crystal (GGA-PBE, the Alexandria database).

**Density of states at the Fermi level**: 1.29 states/eV per atom
**Energy above the most stable polymorph in this dataset**: 3.01 eV/f.u.
**Symmetry**: Pm-3m (221)
**Calculated volume**: 23.5 A^3/atom
**ΔE_f (raw)**: 2.1775 eV per atom

Lattice parameters (Å, degrees): 4.8997 4.8997 4.8997 90.00 90.00 90.00
Fractional positions:
1 I 0.0000 0.0000 0.0000
2 Mo 0.0000 0.5000 0.0000
3 Mo 0.0000 0.0000 0.5000
4 Mo 0.5000 0.0000 0.0000
5 Ge 0.5000 0.5000 0.5000

# Ba2ZrHg

A relaxed Ba2ZrHg crystal (GGA-PBE, the Alexandria database).

**Density of states at the Fermi level**: 1.57 states/eV per atom
**E_form**: 0.376 eV per atom
**Symmetry**: I-4m2 (119)
**Calculated volume**: 35.0 A^3/atom

Lattice parameters (Å, degrees): 6.3817 6.3817 6.3817 132.17 132.17 69.97
Fractional positions:
1 Ba 0.0000 0.0000 0.0000
2 Ba 0.2500 0.7500 0.5000
3 Hg 0.5000 0.5000 0.0000
4 Zr 0.7500 0.2500 0.5000

# CeSc2Co

A relaxed CeSc2Co crystal (GGA-PBE, the Alexandria database).

**Density of states at the Fermi level**: 1.78 states/eV per atom
**Energy above the most stable polymorph in this dataset**: 0.14 eV/f.u.
**E_form**: -0.143 eV per atom
**Symmetry**: P4/mmm (123)
**Calculated volume**: 21.0 A^3/atom

Lattice parameters (Å, degrees): 3.1605 3.1605 8.3996 90.00 90.00 90.00
Fractional positions:
1 Sc 0.0000 0.0000 0.8199
2 Sc 0.0000 0.0000 0.1801
3 Co 0.5000 0.5000 0.0000
4 Ce 0.5000 0.5000 0.5000

# PrHo2ScS4

A relaxed PrHo2ScS4 crystal (GGA-PBE, the Alexandria database).

**Density of states at the Fermi level**: 0.58 states/eV per atom
**Symmetry**: P2/m (10)
**Calculated volume**: 21.1 A^3/atom
**ΔE_f (raw)**: -1.9212 eV per atom

Lattice parameters (Å, degrees): 3.8601 6.8452 6.7380 108.90 90.00 90.00
Fractional positions:
1 Pr 0.5000 0.5000 0.0000
2 Ho 0.5000 0.0000 0.5000
3 Ho 0.0000 0.5000 0.5000
4 Sc 0.0000 0.0000 0.0000
5 S 0.5000 0.2349 0.2474
6 S 0.5000 0.7651 0.7526
7 S 0.0000 0.2325 0.7414
8 S 0.0000 0.7675 0.2586

# Y4PPbS2

A relaxed Y4PPbS2 crystal (GGA-PBE, the Alexandria database).

**Density of states at the Fermi level**: 0.34 states/eV per atom
**Symmetry**: P2/m (10)
**Calculated volume**: 24.2 A^3/atom
**ΔE_f (raw)**: -1.4908 eV per atom

Lattice parameters (Å, degrees): 4.0358 7.0809 7.1705 70.73 90.00 90.00
Fractional positions:
1 Y 0.0000 0.7640 0.7280
2 Y 0.0000 0.2360 0.2720
3 Y 0.5000 0.7502 0.2634
4 Y 0.5000 0.2498 0.7366
5 P 0.0000 0.5000 0.5000
6 Pb 0.5000 0.5000 0.0000
7 S 0.0000 0.0000 0.0000
8 S 0.5000 0.0000 0.5000

# ScBRh3

A relaxed ScBRh3 crystal (GGA-PBE, the Alexandria database).

**Density of states at the Fermi level**: 0.73 states/eV per atom
**Energy above the most stable polymorph in this dataset**: 12.38 eV/f.u.
**E_form**: 1.713 eV per atom
**Symmetry**: Pm-3m (221)
**Calculated volume**: 19.6 A^3/atom

Lattice parameters (Å, degrees): 4.6121 4.6121 4.6121 90.00 90.00 90.00
Fractional positions:
1 Sc 0.0000 0.0000 0.0000
2 B 0.5000 0.5000 0.5000
3 Rh 0.0000 0.5000 0.0000
4 Rh 0.0000 0.0000 0.5000
5 Rh 0.5000 0.0000 0.0000

# NaSnSb2

A relaxed NaSnSb2 crystal (GGA-PBE, the Alexandria database).

**Density of states at the Fermi level**: 0.68 states/eV per atom
**Symmetry**: P4/mmm (123)
**Calculated volume**: 27.1 A^3/atom
**ΔE_f (raw)**: -0.0930 eV per atom

Lattice parameters (Å, degrees): 4.5692 4.8743 4.8743 90.00 90.00 90.00
Fractional positions:
1 Sb 0.0000 0.0000 0.5000
2 Sb 0.0000 0.5000 0.0000
3 Sn 0.5000 0.0000 0.0000
4 Na 0.5000 0.5000 0.5000

# KRb2NaI

A relaxed KRb2NaI crystal (GGA-PBE, the Alexandria database).

**Density of states at the Fermi level**: 0.49 states/eV per atom
**Energy above the most stable polymorph in this dataset**: 0.23 eV/f.u.
**Symmetry**: P4/mmm (123)
**Calculated volume**: 68.9 A^3/atom
**ΔE_f (raw)**: -0.4406 eV per atom

Lattice parameters (Å, degrees): 7.3228 7.3228 6.4246 90.00 90.00 90.00
Fractional positions:
1 I 0.0000 0.0000 0.0000
2 Na 0.0000 0.0000 0.5000
3 K 0.5000 0.5000 0.5000
4 Rb 0.0000 0.5000 0.0000
5 Rb 0.5000 0.0000 0.0000

# Dy2LuCo

A relaxed Dy2LuCo crystal (GGA-PBE, the Alexandria database).

**Density of states at the Fermi level**: 1.18 states/eV per atom
**Energy above the most stable polymorph in this dataset**: 0.00 eV/f.u.
**E_form**: -0.034 eV per atom
**Symmetry**: P4/mmm (123)
**Calculated volume**: 25.0 A^3/atom

Lattice parameters (Å, degrees): 3.4106 3.4106 8.5962 90.00 90.00 90.00
Fractional positions:
1 Lu 0.5000 0.5000 0.5000
2 Co 0.5000 0.5000 0.0000
3 Dy 0.0000 0.0000 0.8114
4 Dy 0.0000 0.0000 0.1886